(1)
DFT (PBE-GGA) results for a relaxed PW crystal.

E: -0.6326 Ry per atom

Cell lengths 5.417, 5.417, 5.417 Å; angles 90.00, 90.00, 90.00 degrees
Space group F-43m (No. 216)
Asymmetric unit:
P (0.000, 0.000, 0.000) [4 per cell]
W (0.250, 0.250, 0.750) [4 per cell]

(2)
DFT (PBE-GGA) results for a relaxed PaFe2Pb2 crystal.

E: -0.4662 Ry per atom

Cell lengths 4.341, 4.341, 11.272 Å; angles 90.00, 90.00, 90.00 degrees
Space group I4/mmm (No. 139)
Asymmetric unit:
Pa (0.000, 0.000, 0.000) [2 per cell]
Fe (0.000, 0.000, 0.407) [4 per cell]
Pb (0.000, 0.500, 0.250) [4 per cell]

(3)
DFT (PBE-GGA) results for a relaxed LuCdCuSn crystal.

E: -0.2510 Ry per atom

Cell lengths 6.965, 6.965, 6.965 Å; angles 90.00, 90.00, 90.00 degrees
Space group F-43m (No. 216)
Asymmetric unit:
Lu (0.000, 0.000, 0.000) [4 per cell]
Cd (0.250, 0.250, 0.750) [4 per cell]
Cu (0.000, 0.000, 0.500) [4 per cell]
Sn (0.250, 0.250, 0.250) [4 per cell]

(4)
DFT (PBE-GGA) results for a relaxed BeAsPtO crystal.

E: -0.3320 Ry per atom

Cell lengths 3.676, 3.676, 7.846 Å; angles 90.00, 90.00, 90.00 degrees
Space group P4/nmm (No. 129, origin choice 2)
Asymmetric unit:
Be (0.250, 0.750, 0.000) [2 per cell]
As (0.250, 0.250, 0.191) [2 per cell]
Pt (0.250, 0.250, 0.652) [2 per cell]
O (0.250, 0.750, 0.500) [2 per cell]

(5)
DFT (PBE-GGA) results for a relaxed La2MgTcO6 crystal.

E: -0.5788 Ry per atom

Cell lengths 9.694, 5.550, 5.647 Å; angles 90.00, 125.64, 90.00 degrees
Space group C2/m (No. 12)
Asymmetric unit:
La (0.250, 0.000, 0.239) [4 per cell]
Mg (0.000, 0.000, 0.500) [2 per cell]
Tc (0.000, 0.500, 0.000) [2 per cell]
O (0.052, 0.251, 0.803) [8 per cell]
O (0.248, 0.500, 0.341) [4 per cell]

(6)
DFT (PBE-GGA) results for a relaxed Mg2Pa crystal.

E: -0.2830 Ry per atom

Cell lengths 3.018, 5.515, 17.625 Å; angles 90.00, 90.00, 90.00 degrees
Space group Pmmn (No. 59, origin choice 2)
Asymmetric unit:
Mg (0.250, 0.250, 0.032) [2 per cell]
Mg (0.250, 0.250, 0.695) [2 per cell]
Mg (0.250, 0.750, 0.468) [2 per cell]
Mg (0.250, 0.750, 0.805) [2 per cell]
Pa (0.250, 0.250, 0.361) [2 per cell]
Pa (0.250, 0.750, 0.138) [2 per cell]

(7)
DFT (PBE-GGA) results for a relaxed KGdFe crystal.

E: -0.2282 Ry per atom

Cell lengths 7.120, 7.120, 7.120 Å; angles 90.00, 90.00, 90.00 degrees
Space group F-43m (No. 216)
Asymmetric unit:
K (0.000, 0.000, 0.000) [4 per cell]
Gd (0.250, 0.250, 0.250) [4 per cell]
Fe (0.250, 0.250, 0.750) [4 per cell]

(8)
DFT (PBE-GGA) results for a relaxed ZnPt2 crystal.

ΔE_f: 0.00 eV/atom

Cell lengths 7.447, 7.447, 7.447 Å; angles 90.00, 90.00, 90.00 degrees
Space group Fd-3m (No. 227, origin choice 2)
Asymmetric unit:
Zn (0.125, 0.125, 0.125) [8 per cell]
Pt (0.000, 0.000, 0.500) [16 per cell]